Record 1
4
Lattice="-3.505 -1.612 -1.641 -2.602 -2.242 2.404 -5.455 4.462 1.912" Properties=species:S:1:pos:R:3 comment="PBEsol YScTe2, relaxed" e_form_raw_ev_per_atom=-1.2598 magnetic_moment_mub_per_cell=0.000 density_g_cm3=6.16 dos_at_fermi_per_ev_cell=2.51 dft_energy_ev_per_atom=-6.38 sg="R-3m (166)" pbc="T T T"
Y -5.782 0.304 1.338
Sc 0.000 0.000 0.000
Te -2.838 0.063 0.643
Te -8.725 0.545 2.032

Record 2
4
Lattice="-2.389 2.731 -1.327 -1.857 -3.084 -3.002 -2.758 -2.879 4.663" Properties=species:S:1:pos:R:3 comment="PBEsol Y2ScTe, relaxed" e_form_raw_ev_per_atom=-0.6621 magnetic_moment_mub_per_cell=0.000 density_g_cm3=5.52 dos_at_fermi_per_ev_cell=2.12 dft_energy_ev_per_atom=-6.61 sg="Amm2 (38)" pbc="T T T"
Y -4.962 -0.078 3.149
Y -3.157 -2.396 0.754
Sc -2.809 0.747 0.971
Te -2.573 -0.349 -1.709

Repeat the second record exactly.
4
Lattice="-2.389 2.731 -1.327 -1.857 -3.084 -3.002 -2.758 -2.879 4.663" Properties=species:S:1:pos:R:3 comment="PBEsol Y2ScTe, relaxed" e_form_raw_ev_per_atom=-0.6621 magnetic_moment_mub_per_cell=0.000 density_g_cm3=5.52 dos_at_fermi_per_ev_cell=2.12 dft_energy_ev_per_atom=-6.61 sg="Amm2 (38)" pbc="T T T"
Y -4.962 -0.078 3.149
Y -3.157 -2.396 0.754
Sc -2.809 0.747 0.971
Te -2.573 -0.349 -1.709